Here is crystalline LiAcMg3 at its relaxed geometry from the Alexandria database. Energies are from PBE.

Cell lengths 7.2034, 7.2034, 12.0110 Å; angles 90.00, 90.00, 120.00 degrees
Closest atoms and distances in Å follow each position.
Space group P6_3/mmc (No. 194)
Unique sites:
Li  0.3333  0.6667  0.1365 [4 per cell]  6 Mg 2.65-2.72, 1 Li 2.73
Ac  0.0000  0.0000  0.0000 [2 per cell]  12 Mg 3.50-3.60
Ac  0.3333  0.6667  0.7500 [2 per cell]  12 Mg 3.61-3.65
Mg  0.0000  0.5000  0.0000 [6 per cell]  2 Li 2.65
Mg  0.1446  0.2892  0.2500 [6 per cell]  2 Li 2.72

Calculated values
For the density of states at the Fermi level, the calculation gives 16.742 states/eV per cell. The calculated density comes out at 3.776 g cm⁻³. The value obtained for the calculated formation energy is 1.2 meV/atom.